# 1
82
Lattice="7.168 0.000 0.000 0.000 7.168 0.000 0.000 0.000 17.666" Properties=species:S:1:pos:R:3 comment="U2CuAs2H16O20 | Alexandria via LeMat-Bulk | GGA-PBE | optimized geometry" space_group=P4/n pbc="T T T"
U 1.792 1.792 0.974
U 1.792 1.792 9.826
U 5.376 5.376 7.840
U 5.376 5.376 16.691
Cu 1.792 1.792 14.306
Cu 5.376 5.376 3.360
As 1.792 5.376 0.000
As 1.792 5.376 8.833
As 5.376 1.792 0.000
As 5.376 1.792 8.833
H 0.282 1.604 5.375
H 0.455 4.462 11.415
H 0.486 6.277 4.144
H 0.532 6.074 2.556
H 0.878 6.714 6.251
H 0.892 4.070 13.522
H 1.094 4.116 15.110
H 1.604 3.302 5.375
H 1.980 0.282 5.375
H 2.490 6.637 15.110
H 2.693 6.682 13.522
H 2.706 4.039 6.251
H 3.052 4.678 2.556
H 3.098 4.476 4.144
H 3.129 6.290 11.415
H 3.302 1.980 5.375
H 3.866 5.188 12.291
H 4.039 0.878 6.251
H 4.070 2.693 13.522
H 4.116 2.490 15.110
H 4.462 3.129 11.415
H 4.476 0.486 4.144
H 4.678 0.532 2.556
H 5.188 6.886 12.291
H 5.565 3.866 12.291
H 6.074 3.052 2.556
H 6.277 3.098 4.144
H 6.290 0.455 11.415
H 6.637 1.094 15.110
H 6.682 0.892 13.522
H 6.714 2.706 6.251
H 6.886 5.565 12.291
O 0.021 2.571 5.395
O 0.173 5.677 3.390
O 0.480 4.954 16.634
O 0.477 5.751 7.789
O 1.013 0.021 5.395
O 1.370 6.688 1.032
O 1.417 4.061 9.877
O 1.492 3.757 14.276
O 1.792 1.792 2.783
O 1.792 1.792 8.014
O 1.792 1.792 11.653
O 1.792 1.792 16.810
O 2.093 6.995 14.276
O 2.167 6.691 9.877
O 2.214 4.064 1.032
O 2.571 3.563 5.395
O 3.107 5.001 7.789
O 3.104 5.798 16.634
O 3.411 5.076 3.390
O 3.563 1.013 5.395
O 3.605 6.155 12.271
O 3.757 2.093 14.276
O 4.064 1.370 1.032
O 4.061 2.167 9.877
O 4.598 3.605 12.271
O 4.954 3.104 16.634
O 5.001 0.477 7.789
O 5.076 0.173 3.390
O 5.376 5.376 0.856
O 5.376 5.376 6.013
O 5.376 5.376 9.652
O 5.376 5.376 14.883
O 5.677 3.411 3.390
O 5.751 3.107 7.789
O 5.798 0.480 16.634
O 6.155 7.147 12.271
O 6.691 1.417 9.877
O 6.688 2.214 1.032
O 6.995 1.492 14.276
O 7.147 4.598 12.271

---

# 2
20
Lattice="5.687 0.000 0.000 0.000 8.714 0.000 0.000 0.000 7.637" Properties=species:S:1:pos:R:3 comment="Th2BeGaPd6 | Alexandria via LeMat-Bulk | GGA-PBE | optimized geometry" space_group=Pmmn pbc="T T T"
Th 1.422 0.139 1.779
Th 1.422 4.217 1.779
Th 4.265 4.496 5.859
Th 4.265 8.574 5.859
Be 1.422 2.178 5.446
Be 4.265 6.535 2.191
Ga 1.422 6.535 6.105
Ga 4.265 2.178 1.532
Pd 0.017 6.535 3.896
Pd 0.031 2.178 7.146
Pd 1.422 0.032 4.858
Pd 1.422 4.325 4.858
Pd 2.812 2.178 7.146
Pd 2.827 6.535 3.896
Pd 2.860 2.178 3.741
Pd 2.875 6.535 0.491
Pd 4.265 4.389 2.780
Pd 4.265 8.682 2.780
Pd 5.655 6.535 0.491
Pd 5.670 2.178 3.741

---

# 3
5
Lattice="4.988 0.000 0.000 0.000 4.988 0.000 0.000 0.000 4.988" Properties=species:S:1:pos:R:3 comment="RbZr3N | Alexandria via LeMat-Bulk | GGA-PBE | optimized geometry" space_group=Pm-3m formation_energy_uncorrected_ev_per_atom=3.11 pbc="T T T"
Rb 0.000 0.000 0.000
Zr 0.000 0.000 2.494
Zr 0.000 2.494 0.000
Zr 2.494 0.000 0.000
N 2.494 2.494 2.494

---

# 4
4
Lattice="1.848 1.067 10.835 -1.848 1.067 10.835 0.000 -2.133 10.835" Properties=species:S:1:pos:R:3 comment="Nd2GdPd | Alexandria via LeMat-Bulk | GGA-PBE | optimized geometry" e_above_lowest_polymorph_kj_per_mol_fu=99.4 space_group=R-3m pbc="T T T"
Nd 0.000 0.000 3.430
Nd 0.000 0.000 29.077
Gd 0.000 0.000 0.000
Pd 0.000 0.000 16.253

---

# 5
4
Lattice="5.469 0.000 0.000 0.000 5.469 0.000 0.000 0.000 3.288" Properties=species:S:1:pos:R:3 comment="CoPb2Br | Alexandria via LeMat-Bulk | GGA-PBE | optimized geometry" e_above_lowest_polymorph_kj_per_mol_fu=107.1 space_group=P4/mmm formation_energy_uncorrected_ev_per_atom=0.37 pbc="T T T"
Co 0.000 0.000 0.000
Pb 0.000 2.735 1.644
Pb 2.735 0.000 1.644
Br 2.735 2.735 0.000

---

# 6
14
Lattice="7.746 0.000 0.000 0.000 10.974 0.000 0.000 0.000 3.318" Properties=species:S:1:pos:R:3 comment="Hf4Hg2C | Alexandria via LeMat-Bulk | GGA-PBE | optimized geometry" space_group=Pbam pbc="T T T"
Hf 1.013 1.986 0.000
Hf 1.366 10.281 1.659
Hf 2.507 4.793 1.659
Hf 2.860 7.473 0.000
Hf 4.886 3.501 0.000
Hf 5.239 6.181 1.659
Hf 6.381 0.694 1.659
Hf 6.733 8.988 0.000
Hg 0.422 7.002 1.659
Hg 3.451 1.514 1.659
Hg 4.295 9.460 1.659
Hg 7.324 3.973 1.659
C 0.000 0.000 0.000
C 3.873 5.487 0.000

---

# 7
8
Lattice="1.745 1.007 11.411 -1.745 1.007 11.411 0.000 -2.015 11.411" Properties=species:S:1:pos:R:3 comment="Pu4NO3 | Alexandria via LeMat-Bulk | GGA-PBE | optimized geometry" e_above_lowest_polymorph_kj_per_mol_fu=0.0 space_group=R-3m formation_energy_uncorrected_ev_per_atom=-2.17 pbc="T T T"
Pu 0.000 0.000 4.253
Pu 0.000 0.000 12.811
Pu 0.000 0.000 21.421
Pu 0.000 0.000 29.979
N 0.000 0.000 0.000
O 0.000 0.000 8.532
O 0.000 0.000 17.116
O 0.000 0.000 25.701

---

# 8
18
Lattice="-4.404 4.404 7.750 4.404 -4.404 7.750 4.404 4.404 -7.750" Properties=species:S:1:pos:R:3 comment="TbSmY5Th2 | Alexandria via LeMat-Bulk | GGA-PBE | optimized geometry" space_group=I4/mcm pbc="T T T"
Tb 0.000 0.000 3.875
Tb 0.000 0.000 11.624
Sm 4.404 0.000 3.875
Sm 0.000 4.404 3.875
Y 0.000 0.000 0.000
Y 6.239 1.836 -2.150
Y 1.836 2.568 -2.150
Y 6.239 1.836 2.150
Y 1.836 2.568 2.150
Y 0.000 0.000 7.750
Y 2.568 1.836 5.600
Y -1.836 2.568 5.600
Y 2.568 1.836 9.899
Y -1.836 2.568 9.899
Th 3.358 1.046 0.000
Th 3.358 -1.046 7.750
Th 1.046 5.450 0.000
Th 1.046 3.358 7.750

---

# 9
5
Lattice="4.610 0.000 0.000 0.000 4.610 0.000 0.000 0.000 4.610" Properties=species:S:1:pos:R:3 comment="LaGa3Co | Alexandria via LeMat-Bulk | GGA-PBE | optimized geometry" space_group=Pm-3m pbc="T T T"
La 0.000 0.000 0.000
Ga 0.000 2.305 2.305
Ga 2.305 0.000 2.305
Ga 2.305 2.305 0.000
Co 2.305 2.305 2.305

---

# 10
6
Lattice="4.475 0.000 0.000 -2.238 3.876 0.000 0.000 0.000 5.558" Properties=species:S:1:pos:R:3 comment="LiAl2 | Alexandria via LeMat-Bulk | GGA-PBE | optimized geometry" e_above_lowest_polymorph_kj_per_mol_fu=27.1 space_group=P6_3/mmc pbc="T T T"
Li 0.000 2.584 1.390
Li 2.238 1.292 4.169
Al 0.000 0.000 0.000
Al 0.000 0.000 2.779
Al 0.000 2.584 4.169
Al 2.238 1.292 1.390

---

# 11
11
Lattice="3.191 -5.534 0.000 3.191 5.534 0.000 -2.139 0.000 11.621" Properties=species:S:1:pos:R:3 comment="Ac3Pr2Ho6 | Alexandria via LeMat-Bulk | GGA-PBE | optimized geometry" space_group=C2/m pbc="T T T"
Ac 0.000 0.000 0.000
Ac 3.191 1.827 0.000
Ac 3.191 -1.827 0.000
Pr 2.122 3.691 5.811
Pr 2.122 -3.691 5.811
Ho 1.065 1.836 2.981
Ho 0.003 0.000 8.644
Ho 1.065 -1.836 2.981
Ho 3.178 1.836 8.640
Ho 4.240 0.000 2.977
Ho 3.178 -1.836 8.640

---

# 12
20
Lattice="8.298 4.791 3.041 -8.298 4.791 3.041 0.000 -9.582 3.041" Properties=species:S:1:pos:R:3 comment="Tl12Te7Se | Alexandria via LeMat-Bulk | GGA-PBE | optimized geometry" space_group=R-3 formation_energy_uncorrected_ev_per_atom=-0.17 pbc="T T T"
Tl -1.353 -1.830 1.974
Tl -4.080 0.384 3.902
Tl -0.908 2.087 1.974
Tl -2.373 -3.341 5.221
Tl 2.261 -0.257 1.974
Tl 1.707 -3.725 3.902
Tl -1.707 3.725 5.221
Tl -2.261 0.257 7.150
Tl 2.373 3.341 3.902
Tl 0.908 -2.087 7.150
Tl 4.080 -0.384 5.221
Tl 1.353 1.830 7.150
Te -0.885 -5.494 2.474
Te -4.315 3.514 2.474
Te -5.201 -1.980 6.649
Te 0.000 0.000 4.562
Te 5.201 1.980 2.474
Te 4.315 -3.514 6.649
Te 0.885 5.494 6.649
Se 0.000 0.000 0.000

---

Number 1: electronic total energy -497.3 eV per cell. Number 2: electronic total energy -119.3 eV per cell. Number 3: electronic total energy -19.4 eV per cell. Number 4: electronic total energy -29.1 eV per cell. Number 5: electronic total energy -14.7 eV per cell. Number 6: electronic total energy -103.2 eV per cell. Number 7: electronic total energy -97.9 eV per cell. Number 8: electronic total energy -107.2 eV per cell. Number 9: electronic total energy -23.4 eV per cell. Number 10: electronic total energy -18.9 eV per cell. Number 11: electronic total energy -46.9 eV per cell. Number 12: electronic total energy -57.3 eV per cell.